Entry 1:
# Pm2TmC2Cl2, relaxed, DFT PBE
data_Pm2TmC2Cl2
_cell_length_a 4.4921
_cell_length_b 4.4921
_cell_length_c 14.5595
_cell_angle_alpha 90.00
_cell_angle_beta 90.00
_cell_angle_gamma 90.00
_space_group_name_H-M_alt 'I 4/m m m'
_space_group_IT_number 139
_space_group_name_Hall '-I 4 2'
loop_
_atom_site_label
_atom_site_type_symbol
_atom_site_fract_x
_atom_site_fract_y
_atom_site_fract_z
_atom_site_occupancy
Pm1 Pm 0.0000 0.0000 0.1052 1
Tm1 Tm 0.0000 0.0000 0.5000 1
C1 C 0.0000 0.5000 0.0000 1
Cl1 Cl 0.0000 0.0000 0.3068 1
# - M_tot (μB/f.u.) = 0.00
# - calculated total energy (eV for the cell shown) = -83.665


Entry 2:
# PmYCCl, relaxed, DFT PBE
data_PmYCCl
_cell_length_a 3.6847
_cell_length_b 3.6847
_cell_length_c 21.0995
_cell_angle_alpha 90.00
_cell_angle_beta 90.00
_cell_angle_gamma 120.00
_space_group_name_H-M_alt 'R 3 m'
_space_group_IT_number 160
_space_group_name_Hall 'R 3 -2"'
loop_
_atom_site_label
_atom_site_type_symbol
_atom_site_fract_x
_atom_site_fract_y
_atom_site_fract_z
_atom_site_occupancy
Pm1 Pm 0.0000 0.0000 0.0000 1
Y1 Y 0.0000 0.0000 0.7925 1
C1 C 0.0000 0.0000 0.4007 1
Cl1 Cl 0.0000 0.0000 0.2246 1
# - M_tot (μB/f.u.) = 0.00
# - calculated total energy (eV for the cell shown) = -79.617


Entry 3:
# Pm4ZnCCl2, relaxed, DFT PBE
data_Pm4ZnCCl2
_cell_length_a 7.1613
_cell_length_b 3.8878
_cell_length_c 7.2556
_cell_angle_alpha 90.00
_cell_angle_beta 107.46
_cell_angle_gamma 90.00
_space_group_name_H-M_alt 'P 1 2/m 1'
_space_group_IT_number 10
_space_group_name_Hall '-P 2y'
loop_
_atom_site_label
_atom_site_type_symbol
_atom_site_fract_x
_atom_site_fract_y
_atom_site_fract_z
_atom_site_occupancy
Pm1 Pm 0.2063 0.0000 0.1998 1
Pm2 Pm 0.2287 0.5000 0.7776 1
Zn1 Zn 0.5000 0.0000 0.0000 1
C1 C 0.0000 0.5000 0.0000 1
Cl1 Cl 0.0000 0.0000 0.5000 1
Cl2 Cl 0.5000 0.5000 0.5000 1
# - M_tot (μB/f.u.) = 0.00
# - calculated total energy (eV for the cell shown) = -40.031